(1)
# Dy12Co6Pt

A relaxed structure of Dy12Co6Pt (PBE, Alexandria via LeMat-Bulk).

The structure in CIF format:
```
data_Dy12Co6Pt
_space_group_name_H-M_alt 'P 1'
_space_group_IT_number 1
_cell_length_a 8.249
_cell_length_b 8.249
_cell_length_c 8.249
_cell_angle_alpha 109.47
_cell_angle_beta 109.47
_cell_angle_gamma 109.47
loop_
_space_group_symop_operation_xyz
'x,y,z'
loop_
_atom_site_label
_atom_site_fract_x
_atom_site_fract_y
_atom_site_fract_z
Dy1 0.193 0.298 0.491
Dy2 0.702 0.509 0.807
Dy3 0.193 0.702 0.894
Dy4 0.298 0.106 0.807
Dy5 0.807 0.298 0.106
Dy6 0.509 0.807 0.702
Dy7 0.702 0.894 0.193
Dy8 0.894 0.193 0.702
Dy9 0.807 0.702 0.509
Dy10 0.491 0.193 0.298
Dy11 0.298 0.491 0.193
Dy12 0.106 0.807 0.298
Co1 0.115 0.615 0.500
Co2 0.500 0.115 0.615
Co3 0.385 0.500 0.885
Co4 0.500 0.885 0.385
Co5 0.615 0.500 0.115
Co6 0.885 0.385 0.500
Pt1 0.000 0.000 0.000
```

* energy of formation from the pure elements: -5.413 eV per formula unit

***

(2)
# Dy4Co3Pt

A relaxed structure of Dy4Co3Pt (PBE, Alexandria via LeMat-Bulk).

The structure in CIF format:
```
data_Dy4Co3Pt
_space_group_name_H-M_alt 'P 1'
_space_group_IT_number 1
_cell_length_a 3.971
_cell_length_b 3.956
_cell_length_c 10.509
_cell_angle_alpha 90.00
_cell_angle_beta 90.00
_cell_angle_gamma 90.00
loop_
_space_group_symop_operation_xyz
'x,y,z'
loop_
_atom_site_label
_atom_site_fract_x
_atom_site_fract_y
_atom_site_fract_z
Dy1 0.500 0.000 0.644
Dy2 0.500 0.500 0.363
Dy3 0.000 0.000 0.146
Dy4 0.000 0.500 0.851
Co1 0.000 0.000 0.446
Co2 0.000 0.500 0.555
Co3 0.500 0.000 0.918
Pt1 0.500 0.500 0.076
```

* energy of formation from the pure elements: -3.626 eV per formula unit

***

(3)
# Dy4Co2Pt

A relaxed structure of Dy4Co2Pt (PBE, Alexandria via LeMat-Bulk).

The structure in CIF format:
```
data_Dy4Co2Pt
_space_group_name_H-M_alt 'P 1'
_space_group_IT_number 1
_cell_length_a 7.356
_cell_length_b 7.357
_cell_length_c 7.355
_cell_angle_alpha 108.91
_cell_angle_beta 108.89
_cell_angle_gamma 110.61
loop_
_space_group_symop_operation_xyz
'x,y,z'
loop_
_atom_site_label
_atom_site_fract_x
_atom_site_fract_y
_atom_site_fract_z
Dy1 0.864 0.619 0.124
Dy2 0.260 0.136 0.755
Dy3 0.381 0.505 0.245
Dy4 0.387 0.010 0.255
Dy5 0.990 0.245 0.376
Dy6 0.869 0.614 0.623
Dy7 0.755 0.131 0.745
Dy8 0.495 0.740 0.876
Pt1 0.000 0.000 0.000
Pt2 0.250 0.750 0.500
Co1 0.747 0.875 0.372
Co2 0.125 0.499 0.873
Co3 0.503 0.375 0.628
Co4 0.625 0.252 0.126
```

* energy of formation from the pure elements: -3.092 eV per formula unit

***

(4)
# Dy3CoPt

A relaxed structure of Dy3CoPt (PBE, Alexandria via LeMat-Bulk).

The structure in CIF format:
```
data_Dy3CoPt
_space_group_name_H-M_alt 'P 1'
_space_group_IT_number 1
_cell_length_a 3.836
_cell_length_b 7.857
_cell_length_c 7.942
_cell_angle_alpha 89.28
_cell_angle_beta 89.99
_cell_angle_gamma 104.11
loop_
_space_group_symop_operation_xyz
'x,y,z'
loop_
_atom_site_label
_atom_site_fract_x
_atom_site_fract_y
_atom_site_fract_z
Pt1 0.422 0.877 0.284
Pt2 0.622 0.277 0.138
Dy1 0.417 0.867 0.658
Dy2 0.967 0.967 0.026
Dy3 0.077 0.188 0.396
Dy4 0.782 0.598 0.400
Dy5 0.627 0.287 0.764
Dy6 0.262 0.556 0.021
Co1 0.809 0.651 0.771
Co2 0.235 0.503 0.650
```

* energy of formation from the pure elements: -2.993 eV per formula unit

***

(5)
# Dy5Co2Pt

A relaxed structure of Dy5Co2Pt (PBE, Alexandria via LeMat-Bulk).

The structure in CIF format:
```
data_Dy5Co2Pt
_space_group_name_H-M_alt 'P 1'
_space_group_IT_number 1
_cell_length_a 7.175
_cell_length_b 7.175
_cell_length_c 8.701
_cell_angle_alpha 114.35
_cell_angle_beta 114.35
_cell_angle_gamma 90.00
loop_
_space_group_symop_operation_xyz
'x,y,z'
loop_
_atom_site_label
_atom_site_fract_x
_atom_site_fract_y
_atom_site_fract_z
Dy1 0.316 0.816 0.280
Dy2 0.964 0.464 0.280
Dy3 0.464 0.316 0.280
Dy4 0.684 0.184 0.720
Dy5 0.036 0.536 0.720
Dy6 0.000 0.000 0.000
Dy7 0.184 0.036 0.720
Dy8 0.500 0.500 0.000
Dy9 0.816 0.964 0.280
Dy10 0.536 0.684 0.720
Co1 0.113 0.387 0.000
Co2 0.613 0.113 0.000
Co3 0.387 0.887 0.000
Co4 0.887 0.613 0.000
Pt1 0.750 0.750 0.500
Pt2 0.250 0.250 0.500
```

* energy of formation from the pure elements: -3.905 eV per formula unit

***

(6)
# Dy8CoPt2

A relaxed structure of Dy8CoPt2 (PBE, Alexandria via LeMat-Bulk).

The structure in CIF format:
```
data_Dy8CoPt2
_space_group_name_H-M_alt 'P 1'
_space_group_IT_number 1
_cell_length_a 6.089
_cell_length_b 7.500
_cell_length_c 7.500
_cell_angle_alpha 111.43
_cell_angle_beta 101.76
_cell_angle_gamma 101.76
loop_
_space_group_symop_operation_xyz
'x,y,z'
loop_
_atom_site_label
_atom_site_fract_x
_atom_site_fract_y
_atom_site_fract_z
Co1 0.181 0.997 0.997
Dy1 0.989 0.197 0.801
Dy2 0.989 0.801 0.197
Dy3 0.587 0.346 0.085
Dy4 0.803 0.649 0.649
Dy5 0.363 0.666 0.925
Dy6 0.171 0.353 0.353
Dy7 0.587 0.085 0.346
Dy8 0.363 0.925 0.666
Pt1 0.483 0.691 0.324
Pt2 0.483 0.324 0.691
```

* energy of formation from the pure elements: -4.624 eV per formula unit

***

(7)
# Dy8Co2Pt

A relaxed structure of Dy8Co2Pt (PBE, Alexandria via LeMat-Bulk).

The structure in CIF format:
```
data_Dy8Co2Pt
_space_group_name_H-M_alt 'P 1'
_space_group_IT_number 1
_cell_length_a 5.982
_cell_length_b 7.385
_cell_length_c 7.385
_cell_angle_alpha 112.90
_cell_angle_beta 99.70
_cell_angle_gamma 99.70
loop_
_space_group_symop_operation_xyz
'x,y,z'
loop_
_atom_site_label
_atom_site_fract_x
_atom_site_fract_y
_atom_site_fract_z
Dy1 0.797 0.638 0.638
Dy2 0.582 0.080 0.346
Dy3 0.582 0.346 0.080
Dy4 0.986 0.783 0.220
Dy5 0.174 0.366 0.366
Dy6 0.986 0.220 0.783
Dy7 0.384 0.661 0.928
Dy8 0.384 0.928 0.661
Pt1 0.151 0.000 0.000
Co1 0.487 0.695 0.315
Co2 0.487 0.315 0.695
```

* energy of formation from the pure elements: -2.708 eV per formula unit

***

(8)
# Dy2CoSi3Pt4

A relaxed structure of Dy2CoSi3Pt4 (PBE, Alexandria via LeMat-Bulk).

The structure in CIF format:
```
data_Dy2CoSi3Pt4
_space_group_name_H-M_alt 'P 1'
_space_group_IT_number 1
_cell_length_a 4.165
_cell_length_b 4.165
_cell_length_c 9.978
_cell_angle_alpha 90.00
_cell_angle_beta 90.00
_cell_angle_gamma 90.00
loop_
_space_group_symop_operation_xyz
'x,y,z'
loop_
_atom_site_label
_atom_site_fract_x
_atom_site_fract_y
_atom_site_fract_z
Si1 0.000 0.000 0.500
Si2 0.000 0.500 0.134
Si3 0.500 0.000 0.866
Dy1 0.500 0.000 0.257
Dy2 0.000 0.500 0.743
Pt1 0.500 0.500 0.000
Pt2 0.500 0.000 0.631
Pt3 0.000 0.000 0.000
Pt4 0.000 0.500 0.369
Co1 0.500 0.500 0.500
```

* ΔE_f (raw): -0.961 eV/atom

***

Number 1: DFT total energy -109.31 eV per formula unit. Number 2: DFT total energy -49.39 eV per formula unit. Number 3: DFT total energy -41.75 eV per formula unit. Number 4: DFT total energy -29.95 eV per formula unit. Number 5: DFT total energy -47.17 eV per formula unit. Number 6: DFT total energy -60.63 eV per formula unit. Number 7: DFT total energy -59.78 eV per formula unit. Number 8: DFT total energy -66.35 eV per formula unit.